No. 1
# NaZrNi2 PBE relaxed
data_NaZrNi2
_chemical_formula_sum 'Na4 Zr4 Ni8'
_space_group_name_H-M_alt 'F m -3 m'
_space_group_IT_number 225
_space_group_name_Hall '-F 4 2 3'
_cell_length_a 6.355
_cell_length_b 6.355
_cell_length_c 6.355
_cell_angle_alpha 90.00
_cell_angle_beta 90.00
_cell_angle_gamma 90.00
loop_
_atom_site_label
_atom_site_fract_x
_atom_site_fract_y
_atom_site_fract_z
Na1 0.000 0.000 0.000
Zr1 0.000 0.000 0.500
Ni1 0.250 0.250 0.250
# **E_form**: 0.1416 eV per atom
# **Energy relative to the lowest polymorph listed for this composition**: 0 meV/atom
# **Spin magnetization**: 0.00 μB per formula unit



No. 2
# Na2ZrNi PBE relaxed
data_Na2ZrNi
_chemical_formula_sum 'Na8 Zr4 Ni4'
_space_group_name_H-M_alt 'F m -3 m'
_space_group_IT_number 225
_space_group_name_Hall '-F 4 2 3'
_cell_length_a 6.854
_cell_length_b 6.854
_cell_length_c 6.854
_cell_angle_alpha 90.00
_cell_angle_beta 90.00
_cell_angle_gamma 90.00
loop_
_atom_site_label
_atom_site_fract_x
_atom_site_fract_y
_atom_site_fract_z
Na1 0.250 0.250 0.250
Zr1 0.000 0.000 0.000
Ni1 0.000 0.000 0.500
# **E_form**: 0.9647 eV per atom
# **Energy relative to the lowest polymorph listed for this composition**: 176 meV/atom
# **Spin magnetization**: 0.00 μB per formula unit



No. 3
# NaZr2Ni2 PBE relaxed
data_NaZr2Ni2
_chemical_formula_sum 'Na2 Zr4 Ni4'
_space_group_name_H-M_alt 'P 4/m b m'
_space_group_IT_number 127
_space_group_name_Hall '-P 4 2ab'
_cell_length_a 7.886
_cell_length_b 7.886
_cell_length_c 2.932
_cell_angle_alpha 90.00
_cell_angle_beta 90.00
_cell_angle_gamma 90.00
loop_
_atom_site_label
_atom_site_fract_x
_atom_site_fract_y
_atom_site_fract_z
Na1 0.000 0.000 0.000
Zr1 0.151 0.349 0.000
Ni1 0.137 0.637 0.500
# **E_form**: 0.0069 eV per atom
# **Energy relative to the lowest polymorph listed for this composition**: 92 meV/atom
# **Spin magnetization**: 0.00 μB per formula unit



No. 4
# NaZrNi2 PBE relaxed
data_NaZrNi2
_chemical_formula_sum 'Na4 Zr4 Ni8'
_space_group_name_H-M_alt 'I -4 2 d'
_space_group_IT_number 122
_space_group_name_Hall 'I -4 2bw'
_cell_length_a 7.012
_cell_length_b 7.012
_cell_length_c 5.632
_cell_angle_alpha 90.00
_cell_angle_beta 90.00
_cell_angle_gamma 90.00
loop_
_atom_site_label
_atom_site_fract_x
_atom_site_fract_y
_atom_site_fract_z
Na1 0.000 0.000 0.000
Zr1 0.000 0.000 0.500
Ni1 0.236 0.750 0.625
# **E_form**: 0.4164 eV per atom
# **Energy relative to the lowest polymorph listed for this composition**: 275 meV/atom
# **Spin magnetization**: 0.00 μB per formula unit



- Number 2 is which compound?
  Na2ZrNi



- E_form of number 3 (NaZr2Ni2)?
  0.0069 eV per atom



- What is the E_form in the first record?
  0.1416 eV per atom